# 1
The following is a DFT calculation (PBE) of an optimized crystal structure of CuH3Pb.

Cell: 4.1371 4.1371 4.1371 Å, 90.00 90.00 90.00°
Element x y z (fractional)
Cu 0.0000 0.0000 0.0000
H 0.0000 0.5000 0.5000
H 0.5000 0.0000 0.5000
H 0.5000 0.5000 0.0000
Pb 0.5000 0.5000 0.5000

As for the total energy: -2.685 eV/atom. The calculated density is 6.4 g/cm3. Its crystal system is cubic.


# 2
The following is a DFT calculation (PBE) of an optimized crystal structure of LiHoInNi.

Cell: 4.6770 4.6770 4.6770 Å, 60.00 60.00 60.00°
Element x y z (fractional)
Li 0.0000 0.0000 0.0000
Ho 0.7500 0.7500 0.7500
In 0.2500 0.2500 0.2500
Ni 0.5000 0.5000 0.5000

The calculated density is 7.9 g/cm3. The value obtained for the formation energy is -0.37 eV/atom. Its crystal system is cubic.